Material: La3Sm2Pb3
Method: DFT, PBE
State: relaxed

Summary:
As for the space group: P6_3/mcm, No. 193. As for the total energy: -0.1828 hartree per atom. The calculation puts the density of states at the Fermi level at 1.2283 states/eV per atom.

a = 6.9009 Å, b = 9.5010 Å, c = 9.5010 Å
α = 120.00°, β = 90.00°, γ = 90.00°
Positions (direct):
1 La 0.7500 0.7563 0.7563
2 La 0.2500 0.0000 0.7563
3 Sm 0.5000 0.6667 0.3333
4 Sm 0.5000 0.3333 0.6667
5 Pb 0.7500 0.3957 0.3957
6 Pb 0.2500 0.3957 0.0000
7 La 0.2500 0.7563 0.0000
8 La 0.2500 0.2437 0.2437
9 La 0.7500 0.2437 0.0000
10 Pb 0.2500 0.6043 0.6043
11 La 0.7500 0.0000 0.2437
12 Sm 0.0000 0.6667 0.3333
13 Pb 0.7500 0.0000 0.6043
14 Pb 0.2500 0.0000 0.3957
15 Pb 0.7500 0.6043 0.0000
16 Sm 0.0000 0.3333 0.6667